# PBE with a Hubbard U YMnTeO2, optimized geometry
data_YMnTeO2
_symmetry_space_group_name_H-M 'I 4 m m'
_symmetry_Int_Tables_number 107
_symmetry_space_group_name_Hall 'I 4 -2'
_cell_length_a 3.8798
_cell_length_b 3.8798
_cell_length_c 12.9675
_cell_angle_alpha 90.00
_cell_angle_beta 90.00
_cell_angle_gamma 90.00
loop_
_atom_site_label
_atom_site_fract_x
_atom_site_fract_y
_atom_site_fract_z
_atom_site_occupancy
Y1 0.0000 0.0000 0.0000 1
Mn1 0.0000 0.0000 0.6394 1
Te1 0.0000 0.0000 0.3398 1
O1 0.0000 0.5000 0.0876 1
# Total energy = -0.5398 Ry per atom